DFT (PBE-GGA) results for an optimized crystal structure of PrTm2PaN4.

Computed properties:
Formation energy from raw total energies ... -1.62 eV/atom
Spin magnetization ... 0.0 μB/cell
SG ... P2/m (10)
V ... 121 Å³/cell
N(E_F) ... 3.24 states/eV/cell

Cell: 6.0209 3.5021 6.0757 Å, 90.00 109.16 90.00°
Element x y z (fractional)
Pr1 0.0000 0.0000 0.0000
Tm1 0.5000 0.0000 0.5000
Tm2 0.5000 0.5000 0.0000
Pa1 0.0000 0.5000 0.5000
N1 0.2548 0.0000 0.7374
N2 0.2550 0.5000 0.2772
N3 0.7452 0.0000 0.2626
N4 0.7450 0.5000 0.7228

***

DFT (PBE-GGA) results for an optimized crystal structure of Tl2FeOs.

Computed properties:
Formation energy from the elements ... 0.560 eV/atom
Spin magnetization ... 2.5 μB/cell
SG ... P4mm (99)
V ... 82 Å³/cell
N(E_F) ... 3.34 states/eV/cell

Cell: 3.0420 3.0420 8.8333 Å, 90.00 90.00 90.00°
Element x y z (fractional)
Tl1 0.0000 0.0000 0.0000
Tl2 0.5000 0.5000 0.3567
Fe1 0.0000 0.0000 0.6039
Os1 0.5000 0.5000 0.7415

***

DFT (PBE-GGA) results for an optimized crystal structure of K2CuRh.

Computed properties:
Formation energy from the elements ... 0.730 eV/atom
Spin magnetization ... 0.0 μB/cell
SG ... I4/mmm (139)
V ... 92 Å³/cell
N(E_F) ... 1.95 states/eV/cell

Cell: 5.9135 5.9135 5.9135 Å, 137.96 137.96 60.97°
Element x y z (fractional)
K1 0.2500 0.7500 0.5000
K2 0.7500 0.2500 0.5000
Cu1 0.0000 0.0000 0.0000
Rh1 0.5000 0.5000 0.0000

***

DFT (PBE-GGA) results for an optimized crystal structure of TbDyErCd.

Computed properties:
Formation energy from the elements ... -0.025 eV/atom
Spin magnetization ... 0.0 μB/cell
SG ... F-43m (216)
V ... 113 Å³/cell
N(E_F) ... 5.04 states/eV/cell

Cell: 5.4287 5.4287 5.4287 Å, 60.00 60.00 60.00°
Element x y z (fractional)
Tb1 0.0000 0.0000 0.0000
Dy1 0.5000 0.5000 0.5000
Er1 0.7500 0.7500 0.7500
Cd1 0.2500 0.2500 0.2500

***

DFT (PBE-GGA) results for an optimized crystal structure of Ir2RuClO.

Computed properties:
Formation energy from raw total energies ... 1.17 eV/atom
Spin magnetization ... 0.0 μB/cell
SG ... P4/mmm (123)
V ... 88 Å³/cell
N(E_F) ... 6.52 states/eV/cell

Cell: 4.9134 4.9134 3.6619 Å, 90.00 90.00 90.00°
Element x y z (fractional)
Ir1 0.0000 0.5000 0.0000
Ir2 0.5000 0.0000 0.0000
Ru1 0.0000 0.0000 0.0000
Cl1 0.5000 0.5000 0.5000
O1 0.0000 0.0000 0.5000

***

DFT (PBE-GGA) results for an optimized crystal structure of Zn2Ag2Au3.

Computed properties:
Formation energy from the elements ... -0.085 eV/atom
Spin magnetization ... 0.0 μB/cell
SG ... Immm (71)
V ... 121 Å³/cell
N(E_F) ... 1.56 states/eV/cell

Cell: 10.1892 10.1892 10.1892 Å, 163.56 156.12 29.13°
Element x y z (fractional)
Zn1 0.1562 0.1562 0.0000
Zn2 0.8438 0.8438 0.0000
Ag1 0.4278 0.9278 0.5000
Ag2 0.5722 0.0722 0.5000
Au1 0.0000 0.5000 0.5000
Au2 0.2957 0.2957 0.0000
Au3 0.7043 0.7043 0.0000

***

DFT (PBE-GGA) results for an optimized crystal structure of PaCoTc.

Computed properties:
Formation energy from the elements ... -0.252 eV/atom
Spin magnetization ... 0.0 μB/cell
SG ... Imma (74)
V ... 99 Å³/cell
N(E_F) ... 7.48 states/eV/cell

Cell: 5.2745 5.2745 5.2745 Å, 124.27 121.13 85.41°
Element x y z (fractional)
Pa1 0.3798 0.1298 0.2500
Pa2 0.6202 0.8702 0.7500
Co1 0.0000 0.5000 0.5000
Co2 0.5000 0.5000 0.0000
Tc1 0.0000 0.0000 0.5000
Tc2 0.0000 0.5000 0.0000

***

DFT (PBE-GGA) results for an optimized crystal structure of Sm3DyHo6Sc2.

Computed properties:
Formation energy from the elements ... 0.038 eV/atom
Spin magnetization ... 0.0 μB/cell
SG ... C2/m (12)
V ... 367 Å³/cell
N(E_F) ... 17.17 states/eV/cell

Cell: 6.0854 6.0854 11.6056 Å, 95.01 95.01 119.97°
Element x y z (fractional)
Sm1 0.0000 0.0000 0.0000
Sm2 0.3331 0.6669 0.0000
Sm3 0.6669 0.3331 0.0000
Dy1 0.5000 0.5000 0.5000
Ho1 0.0830 0.4188 0.2576
Ho2 0.2452 0.2452 0.7424
Ho3 0.4188 0.0830 0.2576
Ho4 0.5812 0.9170 0.7424
Ho5 0.7548 0.7548 0.2576
Ho6 0.9170 0.5812 0.7424
Sc1 0.1667 0.8333 0.5000
Sc2 0.8333 0.1667 0.5000